(1)
# AlNiI2N (PBE-GGA, relaxed)
data_AlNiI2N
_chemical_formula_sum 'Al1 Ni1 I2 N1'
_cell_length_a 5.675
_cell_length_b 5.675
_cell_length_c 3.512
_cell_angle_alpha 90.00
_cell_angle_beta 90.00
_cell_angle_gamma 90.00
_symmetry_space_group_name_H-M 'P 4/m m m'
_symmetry_Int_Tables_number 123
_symmetry_space_group_name_Hall '-P 4 2'
loop_
_atom_site_label
_atom_site_type_symbol
_atom_site_fract_x
_atom_site_fract_y
_atom_site_fract_z
_atom_site_occupancy
Al1 Al 0.000 0.000 0.000 1
Ni1 Ni 0.500 0.500 0.500 1
I1 I 0.000 0.500 0.000 1
N1 N 0.000 0.000 0.500 1
# Volume (Å³/cell): 113


(2)
# AlNiI2N (PBE-GGA, relaxed)
data_AlNiI2N
_chemical_formula_sum 'Al1 Ni1 I2 N1'
_cell_length_a 5.611
_cell_length_b 5.611
_cell_length_c 3.583
_cell_angle_alpha 90.00
_cell_angle_beta 90.00
_cell_angle_gamma 90.00
_symmetry_space_group_name_H-M 'P 4/m m m'
_symmetry_Int_Tables_number 123
_symmetry_space_group_name_Hall '-P 4 2'
loop_
_atom_site_label
_atom_site_type_symbol
_atom_site_fract_x
_atom_site_fract_y
_atom_site_fract_z
_atom_site_occupancy
Al1 Al 0.000 0.000 0.000 1
Ni1 Ni 0.500 0.500 0.000 1
I1 I 0.000 0.500 0.500 1
N1 N 0.500 0.500 0.500 1
# Volume (Å³/cell): 113


Relative energies with respect to the most stable structure, expressed in kJ/mol of atoms: (1) 0.0; (2) 8.9.


(1)
# AlI2NO (PBE-GGA, relaxed)
data_AlI2NO
_chemical_formula_sum 'Al1 I2 N1 O1'
_cell_length_a 6.072
_cell_length_b 6.072
_cell_length_c 3.353
_cell_angle_alpha 90.00
_cell_angle_beta 90.00
_cell_angle_gamma 90.00
_symmetry_space_group_name_H-M 'P 4/m m m'
_symmetry_Int_Tables_number 123
_symmetry_space_group_name_Hall '-P 4 2'
loop_
_atom_site_label
_atom_site_type_symbol
_atom_site_fract_x
_atom_site_fract_y
_atom_site_fract_z
_atom_site_occupancy
Al1 Al 0.000 0.000 0.000 1
I1 I 0.000 0.500 0.000 1
N1 N 0.500 0.500 0.500 1
O1 O 0.000 0.000 0.500 1
# Volume (Å³/cell): 124


(2)
# AlI2NO (PBE-GGA, relaxed)
data_AlI2NO
_chemical_formula_sum 'Al1 I2 N1 O1'
_cell_length_a 5.826
_cell_length_b 5.826
_cell_length_c 3.480
_cell_angle_alpha 90.00
_cell_angle_beta 90.00
_cell_angle_gamma 90.00
_symmetry_space_group_name_H-M 'P 4/m m m'
_symmetry_Int_Tables_number 123
_symmetry_space_group_name_Hall '-P 4 2'
loop_
_atom_site_label
_atom_site_type_symbol
_atom_site_fract_x
_atom_site_fract_y
_atom_site_fract_z
_atom_site_occupancy
Al1 Al 0.000 0.000 0.000 1
I1 I 0.000 0.500 0.000 1
N1 N 0.000 0.000 0.500 1
O1 O 0.500 0.500 0.500 1
# Volume (Å³/cell): 118


(3)
# AlI2NO (PBE-GGA, relaxed)
data_AlI2NO
_chemical_formula_sum 'Al1 I2 N1 O1'
_cell_length_a 5.102
_cell_length_b 5.102
_cell_length_c 3.701
_cell_angle_alpha 90.00
_cell_angle_beta 90.00
_cell_angle_gamma 90.00
_symmetry_space_group_name_H-M 'P 4/m m m'
_symmetry_Int_Tables_number 123
_symmetry_space_group_name_Hall '-P 4 2'
loop_
_atom_site_label
_atom_site_type_symbol
_atom_site_fract_x
_atom_site_fract_y
_atom_site_fract_z
_atom_site_occupancy
Al1 Al 0.000 0.000 0.000 1
I1 I 0.000 0.500 0.500 1
N1 N 0.500 0.500 0.500 1
O1 O 0.500 0.500 0.000 1
# Volume (Å³/cell): 96


Relative energies with respect to the most stable structure, expressed in kJ/mol of atoms: (1) 0.0; (2) 47.8; (3) 84.7.


(1)
# AlOsI2N (PBE-GGA, relaxed)
data_AlOsI2N
_chemical_formula_sum 'Al1 Os1 I2 N1'
_cell_length_a 5.648
_cell_length_b 5.648
_cell_length_c 3.761
_cell_angle_alpha 90.00
_cell_angle_beta 90.00
_cell_angle_gamma 90.00
_symmetry_space_group_name_H-M 'P 4/m m m'
_symmetry_Int_Tables_number 123
_symmetry_space_group_name_Hall '-P 4 2'
loop_
_atom_site_label
_atom_site_type_symbol
_atom_site_fract_x
_atom_site_fract_y
_atom_site_fract_z
_atom_site_occupancy
Al1 Al 0.000 0.000 0.000 1
Os1 Os 0.500 0.500 0.500 1
I1 I 0.000 0.500 0.500 1
N1 N 0.500 0.500 0.000 1
# Volume (Å³/cell): 120


(2)
# AlOsI2N (PBE-GGA, relaxed)
data_AlOsI2N
_chemical_formula_sum 'Al1 Os1 I2 N1'
_cell_length_a 5.479
_cell_length_b 5.479
_cell_length_c 3.420
_cell_angle_alpha 90.00
_cell_angle_beta 90.00
_cell_angle_gamma 90.00
_symmetry_space_group_name_H-M 'P 4/m m m'
_symmetry_Int_Tables_number 123
_symmetry_space_group_name_Hall '-P 4 2'
loop_
_atom_site_label
_atom_site_type_symbol
_atom_site_fract_x
_atom_site_fract_y
_atom_site_fract_z
_atom_site_occupancy
Al1 Al 0.000 0.000 0.000 1
Os1 Os 0.500 0.500 0.500 1
I1 I 0.000 0.500 0.000 1
N1 N 0.000 0.000 0.500 1
# Volume (Å³/cell): 103


Relative energies with respect to the most stable structure, expressed in kJ/mol of atoms: (1) 0.0; (2) 69.9.


(1)
# AlPbI2N (PBE-GGA, relaxed)
data_AlPbI2N
_chemical_formula_sum 'Al1 Pb1 I2 N1'
_cell_length_a 6.009
_cell_length_b 6.009
_cell_length_c 3.601
_cell_angle_alpha 90.00
_cell_angle_beta 90.00
_cell_angle_gamma 90.00
_symmetry_space_group_name_H-M 'P 4/m m m'
_symmetry_Int_Tables_number 123
_symmetry_space_group_name_Hall '-P 4 2'
loop_
_atom_site_label
_atom_site_type_symbol
_atom_site_fract_x
_atom_site_fract_y
_atom_site_fract_z
_atom_site_occupancy
Al1 Al 0.000 0.000 0.000 1
Pb1 Pb 0.500 0.500 0.500 1
I1 I 0.000 0.500 0.000 1
N1 N 0.000 0.000 0.500 1
# Volume (Å³/cell): 130


(2)
# AlPbI2N (PBE-GGA, relaxed)
data_AlPbI2N
_chemical_formula_sum 'Al1 Pb1 I2 N1'
_cell_length_a 6.250
_cell_length_b 6.250
_cell_length_c 4.598
_cell_angle_alpha 90.00
_cell_angle_beta 90.00
_cell_angle_gamma 90.00
_symmetry_space_group_name_H-M 'P 4/m m m'
_symmetry_Int_Tables_number 123
_symmetry_space_group_name_Hall '-P 4 2'
loop_
_atom_site_label
_atom_site_type_symbol
_atom_site_fract_x
_atom_site_fract_y
_atom_site_fract_z
_atom_site_occupancy
Al1 Al 0.000 0.000 0.000 1
Pb1 Pb 0.500 0.500 0.500 1
I1 I 0.000 0.500 0.500 1
N1 N 0.500 0.500 0.000 1
# Volume (Å³/cell): 180


Relative energies with respect to the most stable structure, expressed in kJ/mol of atoms: (1) 0.0; (2) 72.3.


(1)
# AlPtI2N (PBE-GGA, relaxed)
data_AlPtI2N
_chemical_formula_sum 'Al1 Pt1 I2 N1'
_cell_length_a 5.660
_cell_length_b 5.660
_cell_length_c 3.446
_cell_angle_alpha 90.00
_cell_angle_beta 90.00
_cell_angle_gamma 90.00
_symmetry_space_group_name_H-M 'P 4/m m m'
_symmetry_Int_Tables_number 123
_symmetry_space_group_name_Hall '-P 4 2'
loop_
_atom_site_label
_atom_site_type_symbol
_atom_site_fract_x
_atom_site_fract_y
_atom_site_fract_z
_atom_site_occupancy
Al1 Al 0.000 0.000 0.000 1
Pt1 Pt 0.500 0.500 0.500 1
I1 I 0.000 0.500 0.000 1
N1 N 0.000 0.000 0.500 1
# Volume (Å³/cell): 110


(2)
# AlPtI2N (PBE-GGA, relaxed)
data_AlPtI2N
_chemical_formula_sum 'Al1 Pt1 I2 N1'
_cell_length_a 5.852
_cell_length_b 5.852
_cell_length_c 3.752
_cell_angle_alpha 90.00
_cell_angle_beta 90.00
_cell_angle_gamma 90.00
_symmetry_space_group_name_H-M 'P 4/m m m'
_symmetry_Int_Tables_number 123
_symmetry_space_group_name_Hall '-P 4 2'
loop_
_atom_site_label
_atom_site_type_symbol
_atom_site_fract_x
_atom_site_fract_y
_atom_site_fract_z
_atom_site_occupancy
Al1 Al 0.000 0.000 0.000 1
Pt1 Pt 0.500 0.500 0.500 1
I1 I 0.000 0.500 0.500 1
N1 N 0.500 0.500 0.000 1
# Volume (Å³/cell): 128


Relative energies with respect to the most stable structure, expressed in kJ/mol of atoms: (1) 13.6; (2) 0.0.


(1)
# RbAlI2N (PBE-GGA, relaxed)
data_RbAlI2N
_chemical_formula_sum 'Rb1 Al1 I2 N1'
_cell_length_a 6.821
_cell_length_b 6.821
_cell_length_c 5.523
_cell_angle_alpha 90.00
_cell_angle_beta 90.00
_cell_angle_gamma 90.00
_symmetry_space_group_name_H-M 'P 4/m m m'
_symmetry_Int_Tables_number 123
_symmetry_space_group_name_Hall '-P 4 2'
loop_
_atom_site_label
_atom_site_type_symbol
_atom_site_fract_x
_atom_site_fract_y
_atom_site_fract_z
_atom_site_occupancy
Rb1 Rb 0.000 0.000 0.000 1
Al1 Al 0.500 0.500 0.500 1
I1 I 0.000 0.500 0.000 1
N1 N 0.000 0.000 0.500 1
# Volume (Å³/cell): 257


(2)
# RbAlI2N (PBE-GGA, relaxed)
data_RbAlI2N
_chemical_formula_sum 'Rb1 Al1 I2 N1'
_cell_length_a 6.404
_cell_length_b 6.404
_cell_length_c 3.544
_cell_angle_alpha 90.00
_cell_angle_beta 90.00
_cell_angle_gamma 90.00
_symmetry_space_group_name_H-M 'P 4/m m m'
_symmetry_Int_Tables_number 123
_symmetry_space_group_name_Hall '-P 4 2'
loop_
_atom_site_label
_atom_site_type_symbol
_atom_site_fract_x
_atom_site_fract_y
_atom_site_fract_z
_atom_site_occupancy
Rb1 Rb 0.000 0.000 0.000 1
Al1 Al 0.500 0.500 0.500 1
I1 I 0.000 0.500 0.500 1
N1 N 0.500 0.500 0.000 1
# Volume (Å³/cell): 145


Relative energies with respect to the most stable structure, expressed in kJ/mol of atoms: (1) 116.1; (2) 0.0.